SrCuP2 | GGA-PBEsol | relaxed

POSCAR file:
```
SrCuP2
1.0
-2.124 3.911 -1.529
-3.262 2.100 2.663
0.934 4.136 2.041
P Cu Sr
2 1 1
Direct
0.750 0.750 0.750
0.000 0.000 0.000
0.500 0.500 0.500
0.250 0.250 0.250
```

Calculated values
- VASP energy: -4.2594 eV per atom
- Space group: F-43m, No. 216
- Formation enthalpy at 0 K: 0.18 eV/atom
- D(E_F): 2.20 states/eV per cell